1.
Compound: Zn2CdS3
Source: Alexandria
Functional: PBE
Structure: relaxed

crystal system	monoclinic

a b c (Å): 6.872 6.872 6.830
angles (deg): 99.41 99.41 120.18
Positions (direct):
Zn: 0.594 0.429 0.007
Zn: 0.758 0.267 0.508
Zn: 0.429 0.594 0.507
Zn: 0.267 0.758 0.008
Cd: 0.098 0.924 0.506
Cd: 0.924 0.098 0.006
S: 0.055 0.244 0.399
S: 0.244 0.055 0.899
S: 0.884 0.408 0.876
S: 0.408 0.884 0.376
S: 0.535 0.698 0.874
S: 0.698 0.535 0.374

=====

2.
Compound: ZnCd3S
Source: Alexandria
Functional: PBE
Structure: relaxed

E above lowest polymorph	0.000	eV per atom
crystal system	cubic

a b c (Å): 5.072 5.072 5.072
angles (deg): 90.00 90.00 90.00
Positions (direct):
Zn: 0.000 0.000 0.000
S: 0.500 0.500 0.500
Cd: 0.000 0.500 0.000
Cd: 0.000 0.000 0.500
Cd: 0.500 0.000 0.000

=====

3.
Compound: ZnCd4S5
Source: Alexandria
Functional: PBE
Structure: relaxed

crystal system	trigonal

a b c (Å): 4.115 4.115 17.084
angles (deg): 83.08 83.08 60.00
Positions (direct):
Zn: 0.950 0.950 0.150
Cd: 0.553 0.553 0.341
Cd: 0.151 0.151 0.546
Cd: 0.749 0.749 0.752
Cd: 0.348 0.348 0.957
S: 0.996 0.996 0.011
S: 0.604 0.604 0.189
S: 0.202 0.202 0.395
S: 0.800 0.800 0.601
S: 0.398 0.398 0.806

=====

4.
Compound: ZnCd2S2
Source: Alexandria
Functional: PBE
Structure: relaxed

E above lowest polymorph	0.000	eV per atom
crystal system	tetragonal

a b c (Å): 4.549 4.549 7.308
angles (deg): 71.86 71.86 90.00
Positions (direct):
Zn: 0.000 0.000 0.000
S: 0.352 0.352 0.297
S: 0.648 0.648 0.703
Cd: 0.750 0.250 0.500
Cd: 0.250 0.750 0.500

=====

5.
Compound: ZnCdS2
Source: Alexandria
Functional: PBE
Structure: relaxed

crystal system	orthorhombic

a b c (Å): 6.601 3.827 14.049
angles (deg): 90.00 90.00 90.00
Positions (direct):
Zn: 0.203 0.250 0.666
Zn: 0.297 0.750 0.166
Zn: 0.797 0.750 0.334
Zn: 0.703 0.250 0.834
S: 0.699 0.250 0.425
S: 0.801 0.750 0.925
S: 0.301 0.750 0.575
S: 0.199 0.250 0.075
S: 0.348 0.250 0.818
S: 0.152 0.750 0.318
S: 0.652 0.750 0.182
S: 0.848 0.250 0.682
Cd: 0.316 0.250 0.412
Cd: 0.184 0.750 0.912
Cd: 0.684 0.750 0.588
Cd: 0.816 0.250 0.088

=====

6.
Compound: ZnCdS2
Source: Alexandria
Functional: PBE
Structure: relaxed

crystal system	monoclinic

a b c (Å): 6.547 3.808 3.808
angles (deg): 122.29 107.15 72.85
Positions (direct):
Zn: 0.500 0.500 0.500
S: 0.730 0.785 0.215
S: 0.270 0.215 0.785
Cd: 0.000 0.000 0.000

=====

7.
Compound: ZnCdS2
Source: Alexandria
Functional: PBE
Structure: relaxed

crystal system	tetragonal

a b c (Å): 6.932 6.932 5.820
angles (deg): 53.45 53.45 90.00
Positions (direct):
Zn: 0.750 0.250 0.500
Zn: 0.250 0.750 0.500
S: 0.818 0.318 0.000
S: 0.182 0.682 0.000
S: 0.318 0.182 0.000
S: 0.682 0.818 0.000
Cd: 0.750 0.750 0.500
Cd: 0.250 0.250 0.500

=====

8.
Compound: ZnCd3S
Source: Alexandria
Functional: PBE
Structure: relaxed

E above lowest polymorph	0.030	eV per atom
crystal system	cubic

a b c (Å): 5.234 5.234 5.234
angles (deg): 90.00 90.00 90.00
Positions (direct):
Zn: 0.500 0.500 0.500
S: 0.000 0.000 0.000
Cd: 0.000 0.500 0.000
Cd: 0.000 0.000 0.500
Cd: 0.500 0.000 0.000

=====

Number 1: magnetic moment 0.00 μB/cell, raw formation energy -4.45 eV/f.u.. Number 2: magnetic moment 0.00 μB/cell, raw formation energy 1.82 eV/f.u.. Number 3: magnetic moment 0.00 μB/cell, raw formation energy -6.52 eV/f.u.. Number 4: magnetic moment 0.00 μB/cell, raw formation energy -0.63 eV/f.u.. Number 5: magnetic moment 0.00 μB/cell, raw formation energy -2.50 eV/f.u.. Number 6: magnetic moment 0.00 μB/cell, raw formation energy -1.96 eV/f.u.. Number 7: magnetic moment 0.00 μB/cell, raw formation energy -1.40 eV/f.u.. Number 8: magnetic moment 0.00 μB/cell, raw formation energy 1.97 eV/f.u..